Arrangement i

Here is a geometry-optimized HfTeAuN2 structure from the Alexandria database. Energies are from GGA-PBE.

It has space group P4/mmm (No. 123), with a = 4.073 Å, b = 4.073 Å, c = 6.275 Å, α = 90.00°, β = 90.00° and γ = 90.00°. The distinct sites, in fractional coordinates, are Hf at (0.000, 0.000, 0.000), Te at (0.000, 0.000, 0.500), Au at (0.500, 0.500, 0.500) and N at (0.000, 0.500, 0.000).

For the size of the total moment, the calculation gives 0.085 μB/f.u.

---

Arrangement ii

Here is a geometry-optimized HfTeAuN2 structure from the Alexandria database. Energies are from GGA-PBE.

It has space group P4/mmm (No. 123), with a = 4.165 Å, b = 4.165 Å, c = 5.387 Å, α = 90.00°, β = 90.00° and γ = 90.00°. The distinct sites, in fractional coordinates, are Hf at (0.000, 0.000, 0.000), Te at (0.500, 0.500, 0.000), Au at (0.500, 0.500, 0.500) and N at (0.000, 0.500, 0.500).

For the size of the total moment, the calculation gives 1.121 μB/f.u.

---

Relative energies, meV/atom: arrangement i 0; arrangement ii 1202.

---

Arrangement i

Here is a geometry-optimized HfTe2AuN structure from the Alexandria database. Energies are from GGA-PBE.

It has space group P4/mmm (No. 123), with a = 5.705 Å, b = 5.705 Å, c = 3.938 Å, α = 90.00°, β = 90.00° and γ = 90.00°. The distinct sites, in fractional coordinates, are Hf at (0.000, 0.000, 0.000), Te at (0.000, 0.500, 0.000), Au at (0.500, 0.500, 0.500) and N at (0.000, 0.000, 0.500).

For the size of the total moment, the calculation gives 0.000 μB/f.u.

---

Arrangement ii

Here is a geometry-optimized HfTe2AuN structure from the Alexandria database. Energies are from GGA-PBE.

It has space group P4/mmm (No. 123), with a = 5.085 Å, b = 5.085 Å, c = 4.138 Å, α = 90.00°, β = 90.00° and γ = 90.00°. The distinct sites, in fractional coordinates, are Hf at (0.000, 0.000, 0.000), Te at (0.000, 0.500, 0.500), Au at (0.500, 0.500, 0.000) and N at (0.000, 0.000, 0.500).

For the size of the total moment, the calculation gives 0.000 μB/f.u.

---

Relative energies, meV/atom: arrangement i 44; arrangement ii 0.

---

Arrangement i

Here is a geometry-optimized Na3HfAu structure from the Alexandria database. Energies are from GGA-PBE.

It has space group Pm-3m (No. 221), with a = 5.388 Å, b = 5.388 Å, c = 5.388 Å, α = 90.00°, β = 90.00° and γ = 90.00°. The distinct sites, in fractional coordinates, are Na at (0.000, 0.000, 0.500), Hf at (0.500, 0.500, 0.500) and Au at (0.000, 0.000, 0.000).

For the size of the total moment, the calculation gives 0.000 μB/f.u.

---

Arrangement ii

Here is a geometry-optimized Na3HfAu structure from the Alexandria database. Energies are from GGA-PBE.

It has space group Pm-3m (No. 221), with a = 6.122 Å, b = 6.122 Å, c = 6.122 Å, α = 90.00°, β = 90.00° and γ = 90.00°. The distinct sites, in fractional coordinates, are Na at (0.000, 0.000, 0.500), Hf at (0.000, 0.000, 0.000) and Au at (0.500, 0.500, 0.500).

For the size of the total moment, the calculation gives 4.000 μB/f.u.

---

Relative energies, meV/atom: arrangement i 0; arrangement ii 573.

---

Arrangement i

Here is a geometry-optimized Hf2NbAu structure from the Alexandria database. Energies are from GGA-PBE.

It has space group I-42d (No. 122), with a = 4.176 Å, b = 4.176 Å, c = 19.526 Å, α = 90.00°, β = 90.00° and γ = 90.00°. The distinct sites, in fractional coordinates, are Hf at (0.246, 0.250, 0.125), Nb at (0.000, 0.000, 0.000) and Au at (0.000, 0.000, 0.500).

For the size of the total moment, the calculation gives 0.000 μB/f.u.

---

Arrangement ii

Here is a geometry-optimized Hf2NbAu structure from the Alexandria database. Energies are from GGA-PBE.

It has space group P4/mmm (No. 123), with a = 3.429 Å, b = 3.429 Å, c = 6.699 Å, α = 90.00°, β = 90.00° and γ = 90.00°. The distinct sites, in fractional coordinates, are Hf at (0.000, 0.000, 0.244), Nb at (0.500, 0.500, 0.000) and Au at (0.500, 0.500, 0.500).

For the size of the total moment, the calculation gives 0.000 μB/f.u.

---

Arrangement iii

Here is a geometry-optimized Hf2NbAu structure from the Alexandria database. Energies are from GGA-PBE.

It has space group Fm-3m (No. 225), with a = 6.763 Å, b = 6.763 Å, c = 6.763 Å, α = 90.00°, β = 90.00° and γ = 90.00°. The distinct sites, in fractional coordinates, are Hf at (0.250, 0.250, 0.250), Nb at (0.000, 0.000, 0.000) and Au at (0.000, 0.000, 0.500).

For the size of the total moment, the calculation gives 0.000 μB/f.u.

---

Relative energies, meV/atom: arrangement i 658; arrangement ii 0; arrangement iii 96.

---

Arrangement i

Here is a geometry-optimized HfNb3Au structure from the Alexandria database. Energies are from GGA-PBE.

It has space group Pm-3m (No. 221), with a = 4.877 Å, b = 4.877 Å, c = 4.877 Å, α = 90.00°, β = 90.00° and γ = 90.00°. The distinct sites, in fractional coordinates, are Hf at (0.000, 0.000, 0.000), Nb at (0.000, 0.000, 0.500) and Au at (0.500, 0.500, 0.500).

For the size of the total moment, the calculation gives 0.000 μB/f.u.

---

Arrangement ii

Here is a geometry-optimized HfNb3Au structure from the Alexandria database. Energies are from GGA-PBE.

It has space group Pm-3m (No. 221), with a = 4.955 Å, b = 4.955 Å, c = 4.955 Å, α = 90.00°, β = 90.00° and γ = 90.00°. The distinct sites, in fractional coordinates, are Hf at (0.000, 0.000, 0.000), Nb at (0.000, 0.500, 0.500) and Au at (0.500, 0.500, 0.500).

For the size of the total moment, the calculation gives 0.000 μB/f.u.

---

Relative energies, meV/atom: arrangement i 202; arrangement ii 0.

---

Arrangement i

Here is a geometry-optimized HfNb2Au structure from the Alexandria database. Energies are from GGA-PBE.

It has space group I-42d (No. 122), with a = 7.762 Å, b = 7.762 Å, c = 5.445 Å, α = 90.00°, β = 90.00° and γ = 90.00°. The distinct sites, in fractional coordinates, are Hf at (0.000, 0.000, 0.000), Nb at (0.230, 0.750, 0.625) and Au at (0.000, 0.000, 0.500).

For the size of the total moment, the calculation gives 0.000 μB/f.u.

---

Arrangement ii

Here is a geometry-optimized HfNb2Au structure from the Alexandria database. Energies are from GGA-PBE.

It has space group P4mm (No. 99), with a = 3.437 Å, b = 3.437 Å, c = 6.411 Å, α = 90.00°, β = 90.00° and γ = 90.00°. The distinct sites, in fractional coordinates, are Hf at (0.000, 0.000, 0.000), Nb at (0.000, 0.000, 0.480), Nb at (0.500, 0.500, 0.261) and Au at (0.500, 0.500, 0.748).

For the size of the total moment, the calculation gives 0.000 μB/f.u.

---

Relative energies, meV/atom: arrangement i 560; arrangement ii 0.

---

Arrangement i

Here is a geometry-optimized HfTiNbAu structure from the Alexandria database. Energies are from GGA-PBE.

It has space group F-43m (No. 216), with a = 6.619 Å, b = 6.619 Å, c = 6.619 Å, α = 90.00°, β = 90.00° and γ = 90.00°. The distinct sites, in fractional coordinates, are Hf at (0.000, 0.000, 0.000), Ti at (0.000, 0.000, 0.500), Nb at (0.250, 0.250, 0.750) and Au at (0.250, 0.250, 0.250).

For the size of the total moment, the calculation gives 0.000 μB/f.u.

---

Arrangement ii

Here is a geometry-optimized HfTiNbAu structure from the Alexandria database. Energies are from GGA-PBE.

It has space group P4mm (No. 99), with a = 3.362 Å, b = 3.362 Å, c = 6.542 Å, α = 90.00°, β = 90.00° and γ = 90.00°. The distinct sites, in fractional coordinates, are Hf at (0.000, 0.000, 0.000), Ti at (0.000, 0.000, 0.485), Nb at (0.500, 0.500, 0.260) and Au at (0.500, 0.500, 0.737).

For the size of the total moment, the calculation gives 0.000 μB/f.u.

---

Relative energies, meV/atom: arrangement i 83; arrangement ii 0.

---

Arrangement i

Here is a geometry-optimized Hf2Ni2Au structure from the Alexandria database. Energies are from GGA-PBE.

It has space group P4/mbm (No. 127), with a = 7.022 Å, b = 7.022 Å, c = 3.287 Å, α = 90.00°, β = 90.00° and γ = 90.00°. The distinct sites, in fractional coordinates, are Hf at (0.172, 0.328, 0.000), Ni at (0.125, 0.625, 0.500) and Au at (0.000, 0.000, 0.500).

For the size of the total moment, the calculation gives 0.000 μB/f.u.

---

Arrangement ii

Here is a geometry-optimized Hf2Ni2Au structure from the Alexandria database. Energies are from GGA-PBE.

It has space group P4/mbm (No. 127), with a = 7.420 Å, b = 7.420 Å, c = 3.177 Å, α = 90.00°, β = 90.00° and γ = 90.00°. The distinct sites, in fractional coordinates, are Hf at (0.158, 0.342, 0.000), Ni at (0.126, 0.626, 0.500) and Au at (0.000, 0.000, 0.000).

For the size of the total moment, the calculation gives 0.000 μB/f.u.

---

Relative energies, meV/atom: arrangement i 0; arrangement ii 385.

---

Arrangement i

Here is a geometry-optimized Hf2NiAu2 structure from the Alexandria database. Energies are from GGA-PBE.

It has space group I4/mmm (No. 139), with a = 4.737 Å, b = 4.737 Å, c = 9.957 Å, α = 90.00°, β = 90.00° and γ = 90.00°. The distinct sites, in fractional coordinates, are Hf at (0.000, 0.500, 0.250), Ni at (0.000, 0.000, 0.000) and Au at (0.000, 0.000, 0.373).

For the size of the total moment, the calculation gives 0.000 μB/f.u.

---

Arrangement ii

Here is a geometry-optimized Hf2NiAu2 structure from the Alexandria database. Energies are from GGA-PBE.

It has space group P4/mbm (No. 127), with a = 7.195 Å, b = 7.195 Å, c = 3.660 Å, α = 90.00°, β = 90.00° and γ = 90.00°. The distinct sites, in fractional coordinates, are Hf at (0.171, 0.329, 0.000), Ni at (0.000, 0.000, 0.500) and Au at (0.136, 0.636, 0.500).

For the size of the total moment, the calculation gives 0.000 μB/f.u.

---

Relative energies, meV/atom: arrangement i 567; arrangement ii 0.

---

Arrangement i

Here is a geometry-optimized HfNi2Au2 structure from the Alexandria database. Energies are from GGA-PBE.

It has space group P4/mbm (No. 127), with a = 6.588 Å, b = 6.588 Å, c = 3.647 Å, α = 90.00°, β = 90.00° and γ = 90.00°. The distinct sites, in fractional coordinates, are Hf at (0.000, 0.000, 0.000), Ni at (0.127, 0.373, 0.000) and Au at (0.170, 0.670, 0.500).

For the size of the total moment, the calculation gives 0.000 μB/f.u.

---

Arrangement ii

Here is a geometry-optimized HfNi2Au2 structure from the Alexandria database. Energies are from GGA-PBE.

It has space group I4/mmm (No. 139), with a = 3.583 Å, b = 3.583 Å, c = 12.943 Å, α = 90.00°, β = 90.00° and γ = 90.00°. The distinct sites, in fractional coordinates, are Hf at (0.000, 0.000, 0.000), Ni at (0.000, 0.500, 0.250) and Au at (0.000, 0.000, 0.394).

For the size of the total moment, the calculation gives 0.000 μB/f.u.

---

Relative energies, meV/atom: arrangement i 0; arrangement ii 165.

---

Arrangement i

Here is a geometry-optimized HfAu3O structure from the Alexandria database. Energies are from GGA-PBE.

It has space group Pm-3m (No. 221), with a = 5.273 Å, b = 5.273 Å, c = 5.273 Å, α = 90.00°, β = 90.00° and γ = 90.00°. The distinct sites, in fractional coordinates, are Hf at (0.000, 0.000, 0.000), Au at (0.000, 0.000, 0.500) and O at (0.500, 0.500, 0.500).

For the size of the total moment, the calculation gives 1.375 μB/f.u.

---

Arrangement ii

Here is a geometry-optimized HfAu3O structure from the Alexandria database. Energies are from GGA-PBE.

It has space group Pm-3m (No. 221), with a = 4.492 Å, b = 4.492 Å, c = 4.492 Å, α = 90.00°, β = 90.00° and γ = 90.00°. The distinct sites, in fractional coordinates, are Hf at (0.000, 0.000, 0.000), Au at (0.000, 0.500, 0.500) and O at (0.500, 0.500, 0.500).

For the size of the total moment, the calculation gives 0.633 μB/f.u.

---

Relative energies, meV/atom: arrangement i 720; arrangement ii 0.

---

Arrangement i

Here is a geometry-optimized HfOs3Au structure from the Alexandria database. Energies are from GGA-PBE.

It has space group Pm-3m (No. 221), with a = 4.784 Å, b = 4.784 Å, c = 4.784 Å, α = 90.00°, β = 90.00° and γ = 90.00°. The distinct sites, in fractional coordinates, are Hf at (0.000, 0.000, 0.000), Os at (0.000, 0.000, 0.500) and Au at (0.500, 0.500, 0.500).

For the size of the total moment, the calculation gives 2.740 μB/f.u.

---

Arrangement ii

Here is a geometry-optimized HfOs3Au structure from the Alexandria database. Energies are from GGA-PBE.

It has space group Pm-3m (No. 221), with a = 4.780 Å, b = 4.780 Å, c = 4.780 Å, α = 90.00°, β = 90.00° and γ = 90.00°. The distinct sites, in fractional coordinates, are Hf at (0.000, 0.000, 0.000), Os at (0.000, 0.500, 0.500) and Au at (0.500, 0.500, 0.500).

For the size of the total moment, the calculation gives 3.456 μB/f.u.

---

Relative energies, meV/atom: arrangement i 0; arrangement ii 47.